Below is a PBEsol-optimized structure of Ir2BrCl, with properties calculated at the SCAN level.

Values from the calculation:
Volume   15.96 Å³/atom
Formation energy without anion corrections   1.087 eV per atom
N(E_F)   2.562 states/eV/f.u.
Size of the total moment   0.00 μB per cell

Structure (CIF):
```
data_Ir2BrCl
_chemical_formula_sum 'Ir4 Br2 Cl2'
_symmetry_space_group_name_H-M 'I m m m'
_symmetry_Int_Tables_number 71
_symmetry_space_group_name_Hall '-I 2 2'
_cell_length_a 2.837
_cell_length_b 5.252
_cell_length_c 8.569
_cell_angle_alpha 90.00
_cell_angle_beta 90.00
_cell_angle_gamma 90.00
loop_
_atom_site_label
_atom_site_fract_x
_atom_site_fract_y
_atom_site_fract_z
Ir1 0.000 0.000 0.246
Br1 0.000 0.500 0.000
Cl1 0.000 0.500 0.500
```